Entry from the Alexandria database: an optimized crystal structure of BaNa2PtCl8 (GGA-PBE).

## Properties
uncorrected formation energy = -1.339 eV/atom
crystal system = trigonal

Cell lengths 6.5948, 6.5948, 8.2485 Å; angles 90.00, 90.00, 120.00 degrees
Last column: nearest neighbours and their distance in Å.
Space group P-3m1 (No. 164)
Inequivalent atoms, fractional coordinates:
Ba (0.0000, 0.0000, 0.0000)  6 Cl 3.31
Na (0.3333, 0.6667, 0.3489)  1 Cl 2.61
Pt (0.0000, 0.0000, 0.5000)  6 Cl 2.34
Cl (0.1646, 0.3292, 0.6695)  1 Pt 2.34
Cl (0.3333, 0.6667, 0.0320)  1 Na 2.61